[1]
This record from the Alexandria database describes a relaxed structure of RbReO2. The functional is PBE.

Cell lengths 7.8586, 7.8586, 7.8586 Å; angles 21.49, 21.49, 21.49 degrees
Last column: nearest neighbours and their distance in Å.
Fractional coordinates of all 4 atoms:
Rb  0.0000  0.0000  0.0000  2 O 2.52
Re  0.5000  0.5000  0.5000  6 O 2.14
O  0.1096  0.1096  0.1096  3 Re 2.14
O  0.8904  0.8904  0.8904  3 Re 2.14

Summary:
Its density is 8.84 Mg/m³. As for the total magnetization: 0.00 μB per formula unit. The value obtained for the uncorrected formation energy is -527 meV per atom. As for the energy above the most stable polymorph in this dataset: 1.72 eV/f.u. The density of states at the Fermi level comes out at 2.32 states/eV per cell. As for the raw total energy: -6.360 eV/atom.



[2]
This record from the Alexandria database describes a relaxed structure of Rb5ReO5. The functional is PBE.

Cell lengths 6.5918, 6.5918, 8.6942 Å; angles 93.30, 93.30, 58.40 degrees
Last column: nearest neighbours and their distance in Å.
Fractional coordinates of all 11 atoms:
Rb  0.0000  0.0000  0.0000  2 O 3.06
Rb  0.3075  0.3184  0.6570  4 O 2.81-2.92
Rb  0.3261  0.3737  0.2504  3 O 2.81-2.91
Rb  0.6263  0.6739  0.7496  3 O 2.81-2.91
Rb  0.6816  0.6925  0.3430  4 O 2.81-2.92
Re  0.9393  0.0607  0.5000  5 O 1.83-1.91
O  0.0116  0.8581  0.3312  1 Re 1.83
O  0.0788  0.2145  0.4102  1 Re 1.91
O  0.1419  0.9884  0.6688  1 Re 1.83
O  0.6512  0.3488  0.5000  1 Re 1.85
O  0.7855  0.9212  0.5898  1 Re 1.91

Summary:
Its density is 3.59 Mg/m³. As for the total magnetization: 0.35 μB per formula unit. The value obtained for the uncorrected formation energy is -1409 meV per atom. The density of states at the Fermi level comes out at 3.83 states/eV per cell. As for the raw total energy: -5.234 eV/atom.



[3]
This record from the Alexandria database describes a relaxed structure of RbReO2. The functional is PBE.

Cell lengths 7.7491, 7.7491, 7.7491 Å; angles 23.69, 23.69, 23.69 degrees
Last column: nearest neighbours and their distance in Å.
Fractional coordinates of all 4 atoms:
Rb  0.0000  0.0000  0.0000  6 O 2.70
Re  0.5000  0.5000  0.5000  2 O 1.78
O  0.4210  0.4210  0.4210  1 Re 1.78
O  0.5790  0.5790  0.5790  1 Re 1.78

Summary:
Its density is 7.64 Mg/m³. As for the total magnetization: 0.00 μB per formula unit. The value obtained for the uncorrected formation energy is -957 meV per atom. As for the energy above the most stable polymorph in this dataset: 0.00 eV/f.u. The density of states at the Fermi level comes out at 0.80 states/eV per cell. As for the raw total energy: -6.790 eV/atom.



[4]
This record from the Alexandria database describes a relaxed structure of RbReO2. The functional is PBE.

Cell lengths 8.2534, 8.2534, 8.2534 Å; angles 132.94, 132.94, 68.75 degrees
Last column: nearest neighbours and their distance in Å.
Fractional coordinates of all 16 atoms:
Rb  0.0000  0.0000  0.0000  4 O 2.70
Rb  0.0000  0.0000  0.5000  4 O 2.70
Rb  0.0000  0.5000  0.0000  4 O 2.70
Rb  0.5000  0.0000  0.5000  4 O 2.70
Re  0.0000  0.5000  0.5000  4 O 2.03
Re  0.5000  0.0000  0.0000  4 O 2.03
Re  0.5000  0.5000  0.0000  4 O 2.03
Re  0.5000  0.5000  0.5000  4 O 2.03
O  0.2355  0.3080  0.5725  2 Re 2.03
O  0.2355  0.6631  0.9275  2 Re 2.03
O  0.3080  0.2355  0.0725  2 Re 2.03
O  0.3369  0.7645  0.5725  2 Re 2.03
O  0.6631  0.2355  0.4275  2 Re 2.03
O  0.6920  0.7645  0.9275  2 Re 2.03
O  0.7645  0.3369  0.0725  2 Re 2.03
O  0.7645  0.6920  0.4275  2 Re 2.03

Summary:
Its density is 6.82 Mg/m³. As for the total magnetization: 2.36 μB per formula unit. The value obtained for the uncorrected formation energy is -703 meV per atom. As for the energy above the most stable polymorph in this dataset: 1.02 eV/f.u. The density of states at the Fermi level comes out at 7.43 states/eV per cell. As for the raw total energy: -6.536 eV/atom.